No. 1
DFT (PBE) results for a relaxed Dy4InRu2Au crystal.

abc: 5.009 5.009 8.652
angles: 73.17 73.17 60.00
Fractional positions:
Ru 0.747 0.747 0.758
Ru 0.253 0.253 0.242
Dy 0.622 0.622 0.135
Dy 0.872 0.872 0.384
Dy 0.378 0.378 0.865
Dy 0.128 0.128 0.616
In 0.000 0.000 0.000
Au 0.500 0.500 0.500

## Properties
The formation enthalpy at 0 K comes out at -457 meV/atom. The total energy comes out at -46.63 eV for the cell shown. The symmetry is R-3m.

No. 2
DFT (PBE) results for a relaxed DyInRuAu crystal.

abc: 4.813 4.813 4.813
angles: 60.00 60.00 60.00
Fractional positions:
Ru 0.500 0.500 0.500
Au 0.000 0.000 0.000
Dy 0.250 0.250 0.250
In 0.750 0.750 0.750

## Properties
The formation enthalpy at 0 K comes out at -326 meV/atom. The total energy comes out at -21.20 eV for the cell shown. The symmetry is F-43m.

No. 3
DFT (PBE) results for a relaxed DySc2InAu4 crystal.

abc: 4.868 4.868 8.559
angles: 73.48 73.48 60.00
Fractional positions:
In 0.500 0.500 0.500
Au 0.629 0.629 0.114
Au 0.371 0.371 0.886
Au 0.121 0.121 0.638
Au 0.879 0.879 0.362
Sc 0.756 0.756 0.731
Sc 0.244 0.244 0.269
Dy 0.000 0.000 0.000

## Properties
The formation enthalpy at 0 K comes out at -717 meV/atom. The total energy comes out at -38.85 eV for the cell shown. The symmetry is R-3m.

No. 4
DFT (PBE) results for a relaxed SrDyInAu crystal.

abc: 5.387 5.387 5.387
angles: 60.00 60.00 60.00
Fractional positions:
Sr 0.250 0.250 0.250
Dy 0.750 0.750 0.750
In 0.000 0.000 0.000
Au 0.500 0.500 0.500

## Properties
The formation enthalpy at 0 K comes out at -515 meV/atom. The total energy comes out at -14.36 eV for the cell shown. The symmetry is F-43m.

No. 5
DFT (PBE) results for a relaxed Sr2DyInAu6 crystal.

abc: 7.635 7.635 7.635
angles: 60.00 60.00 90.00
Fractional positions:
Au 0.753 0.247 0.000
Au 0.247 0.247 0.000
Au 0.753 0.753 0.000
Au 0.753 0.753 0.493
Au 0.247 0.753 0.000
Au 0.247 0.247 0.507
Sr 0.750 0.250 0.500
Sr 0.250 0.750 0.500
Dy 0.500 0.500 0.000
In 0.000 0.000 0.000

## Properties
The formation enthalpy at 0 K comes out at -253 meV/atom. The total energy comes out at -32.90 eV for the cell shown. The symmetry is Fm-3m.

No. 6
DFT (PBE) results for a relaxed TbDyInAu crystal.

abc: 5.235 5.235 5.235
angles: 60.00 60.00 60.00
Fractional positions:
Au 0.000 0.000 0.000
Dy 0.750 0.750 0.750
Tb 0.250 0.250 0.250
In 0.500 0.500 0.500

## Properties
The formation enthalpy at 0 K comes out at -612 meV/atom. The total energy comes out at -17.69 eV for the cell shown. The symmetry is F-43m.

No. 7
DFT (PBE) results for a relaxed TbDyInAu crystal.

abc: 3.615 3.615 7.710
angles: 90.00 90.00 90.00
Fractional positions:
Au 0.500 0.500 0.611
Tb 0.000 0.000 0.375
In 0.500 0.500 0.105
Dy 0.000 0.000 0.837

## Properties
The formation enthalpy at 0 K comes out at -668 meV/atom. The total energy comes out at -17.92 eV for the cell shown. The symmetry is P4mm.

No. 8
DFT (PBE) results for a relaxed DyIn2Te4Au crystal.

abc: 4.266 7.902 7.801
angles: 69.69 90.00 90.00
Fractional positions:
Te 0.000 0.286 0.224
Te 0.500 0.747 0.269
Te 0.000 0.714 0.776
Te 0.500 0.253 0.731
Au 0.500 0.500 0.000
In 0.500 0.000 0.500
In 0.000 0.000 0.000
Dy 0.000 0.500 0.500

## Properties
The total energy comes out at -29.86 eV for the cell shown. The symmetry is P2/m.

No. 9
DFT (PBE) results for a relaxed Dy4Tl2InAu crystal.

abc: 5.293 5.293 9.161
angles: 73.21 73.21 60.00
Fractional positions:
Dy 0.129 0.129 0.612
Dy 0.871 0.871 0.388
Dy 0.380 0.380 0.860
Dy 0.620 0.620 0.140
Au 0.500 0.500 0.500
Tl 0.747 0.747 0.758
Tl 0.253 0.253 0.242
In 0.000 0.000 0.000

## Properties
The formation enthalpy at 0 K comes out at -474 meV/atom. The total energy comes out at -32.95 eV for the cell shown. The symmetry is R-3m.

No. 10
DFT (PBE) results for a relaxed DyTmInAu crystal.

abc: 5.188 5.188 5.188
angles: 60.00 60.00 60.00
Fractional positions:
Tm 0.250 0.250 0.250
In 0.500 0.500 0.500
Au 0.000 0.000 0.000
Dy 0.750 0.750 0.750

## Properties
The formation enthalpy at 0 K comes out at -618 meV/atom. The total energy comes out at -17.56 eV for the cell shown. The symmetry is F-43m.

No. 11
DFT (PBE) results for a relaxed DyTmInAu crystal.

abc: 3.586 3.586 7.636
angles: 90.00 90.00 90.00
Fractional positions:
Dy 0.000 0.000 0.841
In 0.500 0.500 0.112
Au 0.500 0.500 0.597
Tm 0.000 0.000 0.379

## Properties
The formation enthalpy at 0 K comes out at -672 meV/atom. The total energy comes out at -17.78 eV for the cell shown. The symmetry is P4mm.

No. 12
DFT (PBE) results for a relaxed DyZnInAu crystal.

abc: 4.906 4.906 4.906
angles: 60.00 60.00 60.00
Fractional positions:
In 0.250 0.250 0.250
Au 0.500 0.500 0.500
Dy 0.750 0.750 0.750
Zn 0.000 0.000 0.000

## Properties
The formation enthalpy at 0 K comes out at -518 meV/atom. The total energy comes out at -13.96 eV for the cell shown. The symmetry is F-43m.